A.
First-principles (meta-GGA SCAN) data for a crystal of Ca3Y relaxed with PBEsol, as listed in Alexandria.

Cell and atoms, written as CIF:
```
data_Ca3Y
_space_group_name_H-M_alt 'R -3 m'
_space_group_IT_number 166
_space_group_name_Hall '-R 3 2"'
_cell_length_a 3.7197
_cell_length_b 3.7197
_cell_length_c 37.2562
_cell_angle_alpha 90.00
_cell_angle_beta 90.00
_cell_angle_gamma 120.00
loop_
_atom_site_label
_atom_site_type_symbol
_atom_site_fract_x
_atom_site_fract_y
_atom_site_fract_z
Ca1 Ca 0.0000 0.0000 0.0000
Ca2 Ca 0.0000 0.0000 0.2473
Y1 Y 0.0000 0.0000 0.5000
```

## Properties
D(E_F)   5.04 states/eV/f.u.
M_tot   0.135 μB/atom



B.
First-principles (meta-GGA SCAN) data for a crystal of Ca3Y relaxed with PBEsol, as listed in Alexandria.

Cell and atoms, written as CIF:
```
data_Ca3Y
_space_group_name_H-M_alt 'P m m m'
_space_group_IT_number 47
_space_group_name_Hall '-P 2 2'
_cell_length_a 3.6569
_cell_length_b 5.4259
_cell_length_c 7.5417
_cell_angle_alpha 90.00
_cell_angle_beta 90.00
_cell_angle_gamma 90.00
loop_
_atom_site_label
_atom_site_type_symbol
_atom_site_fract_x
_atom_site_fract_y
_atom_site_fract_z
Ca1 Ca 0.0000 0.0000 0.0000
Ca2 Ca 0.5000 0.5000 0.2607
Y1 Y 0.0000 0.0000 0.5000
```

## Properties
D(E_F)   5.79 states/eV/f.u.
M_tot   0.130 μB/atom



C.
First-principles (meta-GGA SCAN) data for a crystal of Ca3Y relaxed with PBEsol, as listed in Alexandria.

Cell and atoms, written as CIF:
```
data_Ca3Y
_space_group_name_H-M_alt 'P n m a'
_space_group_IT_number 62
_space_group_name_Hall '-P 2ac 2n'
_cell_length_a 6.4460
_cell_length_b 12.2697
_cell_length_c 7.5562
_cell_angle_alpha 90.00
_cell_angle_beta 90.00
_cell_angle_gamma 90.00
loop_
_atom_site_label
_atom_site_type_symbol
_atom_site_fract_x
_atom_site_fract_y
_atom_site_fract_z
Ca1 Ca 0.0824 0.2500 0.1208
Ca2 Ca 0.2471 0.5034 0.3770
Y1 Y 0.0831 0.2500 0.6381
```

## Properties
D(E_F)   4.83 states/eV/f.u.
M_tot   0.166 μB/atom



Most stable = A



A.
First-principles (meta-GGA SCAN) data for a crystal of ReIr3 relaxed with PBEsol, as listed in Alexandria.

Cell and atoms, written as CIF:
```
data_ReIr3
_space_group_name_H-M_alt 'P m m n'
_space_group_IT_number 59
_cell_length_a 5.4423
_cell_length_b 13.2434
_cell_length_c 4.7145
_cell_angle_alpha 90.00
_cell_angle_beta 90.00
_cell_angle_gamma 90.00
loop_
_space_group_symop_operation_xyz
'x,y,z'
'-x,-y,-z'
'-x+1/2,-y+1/2,z'
'x+1/2,y+1/2,-z'
'x+1/2,-y,-z'
'-x+1/2,y,z'
'-x,y+1/2,-z'
'x,-y+1/2,z'
loop_
_atom_site_label
_atom_site_type_symbol
_atom_site_fract_x
_atom_site_fract_y
_atom_site_fract_z
Re1 Re 0.2500 0.0854 0.1725
Re2 Re 0.2500 0.7500 0.4966
Ir1 Ir 0.9996 0.0825 0.6691
Ir2 Ir 0.0020 0.7500 0.0010
Ir3 Ir 0.2500 0.2500 0.4932
Ir4 Ir 0.2500 0.5859 0.8303
```

## Properties
D(E_F)   3.59 states/eV/f.u.
M_tot   0.000 μB/atom



B.
First-principles (meta-GGA SCAN) data for a crystal of ReIr3 relaxed with PBEsol, as listed in Alexandria.

Cell and atoms, written as CIF:
```
data_ReIr3
_space_group_name_H-M_alt 'P 63/m m c'
_space_group_IT_number 194
_space_group_name_Hall '-P 6c 2c'
_cell_length_a 5.4710
_cell_length_b 5.4710
_cell_length_c 4.3570
_cell_angle_alpha 90.00
_cell_angle_beta 90.00
_cell_angle_gamma 120.00
loop_
_atom_site_label
_atom_site_type_symbol
_atom_site_fract_x
_atom_site_fract_y
_atom_site_fract_z
Re1 Re 0.3333 0.6667 0.2500
Ir1 Ir 0.1669 0.3337 0.7500
```

## Properties
D(E_F)   3.21 states/eV/f.u.
M_tot   0.000 μB/atom



Most stable = B



A.
First-principles (meta-GGA SCAN) data for a crystal of LaOs2Rh relaxed with PBEsol, as listed in Alexandria.

Cell and atoms, written as CIF:
```
data_LaOs2Rh
_space_group_name_H-M_alt 'P 1 m 1'
_space_group_IT_number 6
_space_group_name_Hall 'P -2y'
_cell_length_a 2.8552
_cell_length_b 4.3938
_cell_length_c 5.6530
_cell_angle_alpha 90.00
_cell_angle_beta 101.08
_cell_angle_gamma 90.00
loop_
_atom_site_label
_atom_site_type_symbol
_atom_site_fract_x
_atom_site_fract_y
_atom_site_fract_z
La1 La 0.0000 0.0000 0.0000
Os1 Os 0.4096 0.0000 0.4887
Os2 Os 0.7849 0.5000 0.3718
Rh1 Rh 0.4538 0.5000 0.7722
```

## Properties
D(E_F)   3.05 states/eV/f.u.
M_tot   0.000 μB/atom



B.
First-principles (meta-GGA SCAN) data for a crystal of LaOs2Rh relaxed with PBEsol, as listed in Alexandria.

Cell and atoms, written as CIF:
```
data_LaOs2Rh
_space_group_name_H-M_alt 'P 4/m m m'
_space_group_IT_number 123
_space_group_name_Hall '-P 4 2'
_cell_length_a 2.8369
_cell_length_b 2.8369
_cell_length_c 8.3802
_cell_angle_alpha 90.00
_cell_angle_beta 90.00
_cell_angle_gamma 90.00
loop_
_atom_site_label
_atom_site_type_symbol
_atom_site_fract_x
_atom_site_fract_y
_atom_site_fract_z
La1 La 0.0000 0.0000 0.0000
Os1 Os 0.5000 0.5000 0.2942
Rh1 Rh 0.0000 0.0000 0.5000
```

## Properties
D(E_F)   3.44 states/eV/f.u.
M_tot   0.000 μB/atom



Most stable = A



A.
First-principles (meta-GGA SCAN) data for a crystal of KAu2Cl relaxed with PBEsol, as listed in Alexandria.

Cell and atoms, written as CIF:
```
data_KAu2Cl
_space_group_name_H-M_alt 'P 4/m m m'
_space_group_IT_number 123
_space_group_name_Hall '-P 4 2'
_cell_length_a 3.8992
_cell_length_b 3.8992
_cell_length_c 6.1474
_cell_angle_alpha 90.00
_cell_angle_beta 90.00
_cell_angle_gamma 90.00
loop_
_atom_site_label
_atom_site_type_symbol
_atom_site_fract_x
_atom_site_fract_y
_atom_site_fract_z
K1 K 0.0000 0.0000 0.0000
Au1 Au 0.0000 0.5000 0.5000
Cl1 Cl 0.5000 0.5000 0.0000
```

## Properties
D(E_F)   0.87 states/eV/f.u.
M_tot   0.000 μB/atom



B.
First-principles (meta-GGA SCAN) data for a crystal of KAu2Cl relaxed with PBEsol, as listed in Alexandria.

Cell and atoms, written as CIF:
```
data_KAu2Cl
_space_group_name_H-M_alt 'C m m m'
_space_group_IT_number 65
_space_group_name_Hall '-C 2 2'
_cell_length_a 5.4477
_cell_length_b 12.2158
_cell_length_c 2.7776
_cell_angle_alpha 90.00
_cell_angle_beta 90.00
_cell_angle_gamma 90.00
loop_
_atom_site_label
_atom_site_type_symbol
_atom_site_fract_x
_atom_site_fract_y
_atom_site_fract_z
K1 K 0.0000 0.0000 0.0000
Au1 Au 0.2500 0.2500 0.5000
Cl1 Cl 0.0000 0.5000 0.0000
```

## Properties
D(E_F)   1.37 states/eV/f.u.
M_tot   0.000 μB/atom



Most stable = A